! PdPb3W (GGA-PBE, optimized geometry); values from VASP
&SYSTEM
  ibrav = 0, nat = 5, ntyp = 3
/
ATOMIC_SPECIES
Pd 106.42 Pd.upf
Pb 207.20 Pb.upf
W 183.84 W.upf
CELL_PARAMETERS angstrom
5.246 0.000 0.000
0.000 5.246 0.000
0.000 0.000 5.246
ATOMIC_POSITIONS crystal
Pd 0.000 0.000 0.000
Pb 0.000 0.000 0.500
Pb 0.000 0.500 0.000
Pb 0.500 0.000 0.000
W 0.500 0.500 0.500
! - mass density (Mg/m³) = 10.5
! - space-group type = Pm-3m
! - energy of formation from the pure elements (eV/atom) = 1.38
! - energy (eV/atom) = -4.470
! - total magnetic moment (μB/f.u.) = 0.20